Cu2PbSe2 after structural relaxation. Source: Alexandria, functional GGA-PBE.

N(E_F)	0.030	states/eV/atom
uncorrected formation energy	-0.195	eV per atom

Structure (extended XYZ):
```
10
Lattice="4.3173 -5.3485 0.0000 4.3173 5.3485 0.0000 -4.3169 0.0000 4.6951" Properties=species:S:1:pos:R:3 pbc="T T T"
Cu 1.0852 1.3288 0.1143
Cu -1.0733 -1.3288 2.4619
Cu 5.3910 1.3288 2.2332
Cu 3.2326 -1.3288 4.5807
Pb 1.0797 1.3317 3.5213
Pb 3.2381 -1.3317 1.1738
Se 1.0797 4.4684 3.5213
Se 3.2381 1.8029 1.1738
Se 1.0797 -1.8029 3.5213
Se 3.2381 -4.4684 1.1738
```